(1)
First-principles (PBE) data for crystalline Zn3RuRh at its relaxed geometry, as listed in the Alexandria database.

total energy	-16.27	eV for the cell shown
magnetization	1.82	μB per cell
Fermi-level density of states	6.16	states/eV/cell
distance to the lowest polymorph of the same formula	0.00	kJ/mol of atoms
energy of formation from the pure elements	0.836	eV per atom

a = 4.631 Å, b = 4.631 Å, c = 4.631 Å
α = 90.00°, β = 90.00°, γ = 90.00°
Site moments in Bohr magnetons follow the coordinates.
Fractional positions:
Zn 0.500 0.000 0.000  -0.01
Zn 0.000 0.000 0.500  -0.02
Zn 0.000 0.500 0.000  -0.02
Rh 0.000 0.000 0.000  -0.01
Ru 0.500 0.500 0.500  1.85


(2)
First-principles (PBE) data for crystalline ZnRuRh2 at its relaxed geometry, as listed in the Alexandria database.

total energy	-25.54	eV for the cell shown
magnetization	0.00	μB per cell
Fermi-level density of states	6.66	states/eV/cell
energy of formation from the pure elements	-0.071	eV per atom

a = 8.721 Å, b = 8.721 Å, c = 8.721 Å
α = 18.17°, β = 18.17°, γ = 18.17°
Fractional positions:
Zn 0.750 0.750 0.750
Rh 0.500 0.500 0.500
Rh 0.000 0.000 0.000
Ru 0.250 0.250 0.250


Look up the magnetization of the first one. 1.82 μB per cell


Number 1 is which compound? Zn3RuRh


Copy entry 2 word for word.
First-principles (PBE) data for crystalline ZnRuRh2 at its relaxed geometry, as listed in the Alexandria database.

total energy	-25.54	eV for the cell shown
magnetization	0.00	μB per cell
Fermi-level density of states	6.66	states/eV/cell
energy of formation from the pure elements	-0.071	eV per atom

a = 8.721 Å, b = 8.721 Å, c = 8.721 Å
α = 18.17°, β = 18.17°, γ = 18.17°
Fractional positions:
Zn 0.750 0.750 0.750
Rh 0.500 0.500 0.500
Rh 0.000 0.000 0.000
Ru 0.250 0.250 0.250